Entry 1:
First-principles (PBE) data for an optimized crystal structure of Gd2Al2PdPt3, as listed in OQMD.

```
8
Lattice="4.359 0.000 0.000 -2.180 3.775 0.000 0.000 0.000 9.334" Properties=species:S:1:pos:R:3 pbc="T T T"
Gd 0.000 0.000 0.000
Gd 0.000 2.517 4.641
Al 2.180 1.258 2.331
Al 2.180 1.258 7.053
Pd 0.000 0.000 6.229
Pt 0.000 0.000 3.102
Pt 0.000 2.517 1.573
Pt 0.000 2.517 7.704
```

Output
symmetry	P3m1
M_tot	0.002	μB/f.u.
total energy	-6.14	eV per atom

---

Entry 2:
First-principles (PBE) data for an optimized crystal structure of Gd2Al4PdPt, as listed in OQMD.

```
16
Lattice="6.985 0.000 0.000 0.000 4.283 0.000 0.000 0.000 10.395" Properties=species:S:1:pos:R:3 pbc="T T T"
Gd 0.000 0.000 0.000
Gd 0.000 2.142 5.197
Gd 3.493 0.000 1.442
Gd 3.493 2.142 6.639
Al 1.365 0.000 7.442
Al 1.365 2.142 2.245
Al 2.121 0.000 4.410
Al 2.121 2.142 9.608
Al 4.864 0.000 4.410
Al 4.864 2.142 9.608
Al 5.620 0.000 7.442
Al 5.620 2.142 2.245
Pd 3.493 0.000 8.917
Pd 3.493 2.142 3.720
Pt 0.000 0.000 2.932
Pt 0.000 2.142 8.130
```

Output
symmetry	Amm2
M_tot	0.023	μB/f.u.
total energy	-5.32	eV per atom

---

Entry 3:
First-principles (PBE) data for an optimized crystal structure of Gd2Al2Pd3Pt, as listed in OQMD.

```
8
Lattice="4.367 0.000 0.000 -2.184 3.782 0.000 0.000 0.000 9.238" Properties=species:S:1:pos:R:3 pbc="T T T"
Gd 0.000 0.000 0.000
Gd 0.000 2.521 4.654
Al 2.184 1.261 2.344
Al 2.184 1.261 7.019
Pd 0.000 0.000 3.060
Pd 0.000 0.000 6.185
Pd 0.000 2.521 1.628
Pt 0.000 2.521 7.666
```

Output
symmetry	P3m1
M_tot	0.009	μB/f.u.
total energy	-5.80	eV per atom

---

Entry 4:
First-principles (PBE) data for an optimized crystal structure of Gd3Al3SiPd2, as listed in OQMD.

```
9
Lattice="7.430 0.000 0.000 -3.715 6.434 0.000 0.000 0.000 3.832" Properties=species:S:1:pos:R:3 pbc="T T T"
Gd -2.225 3.854 0.000
Gd 1.490 2.580 0.000
Gd 4.450 0.000 0.000
Al -0.933 1.615 1.916
Al 1.865 0.000 1.916
Al 2.782 4.819 1.916
Si 0.000 0.000 0.000
Pd 0.000 4.290 1.916
Pd 3.715 2.145 1.916
```

Output
symmetry	P-62m
M_tot	0.000	μB/f.u.
total energy	-5.28	eV per atom

---

Entry 5:
First-principles (PBE) data for an optimized crystal structure of Gd3Al3SiPd2, as listed in OQMD.

```
9
Lattice="7.602 0.000 0.000 -3.801 6.584 0.000 0.000 0.000 3.913" Properties=species:S:1:pos:R:3 pbc="T T T"
Gd -1.044 1.809 0.000
Gd 2.089 0.000 0.000
Gd 2.757 4.775 0.000
Al -2.283 3.954 1.957
Al 1.518 2.630 1.957
Al 4.566 0.000 1.957
Si 0.000 0.000 1.957
Pd 0.000 4.389 0.000
Pd 3.801 2.195 0.000
```

Output
symmetry	P-62m
M_tot	0.009	μB/f.u.
total energy	-4.92	eV per atom

---

Entry 6:
First-principles (PBE) data for an optimized crystal structure of GdTm2Al3Si2Pd, as listed in OQMD.

```
9
Lattice="4.236 0.000 0.000 0.000 5.946 3.424 0.000 -5.946 3.424" Properties=species:S:1:pos:R:3 pbc="T T T"
Gd 0.000 0.000 0.000
Tm 0.000 -2.486 2.557
Tm 0.000 2.486 2.557
Al 2.118 0.000 2.346
Al 2.118 -1.428 4.794
Al 2.118 1.428 4.794
Si 2.118 -3.933 3.988
Si 2.118 3.933 3.988
Pd 0.000 0.000 3.941
```

Output
symmetry	Amm2
M_tot	0.001	μB/f.u.
total energy	-5.33	eV per atom